Entry from OQMD: an optimized crystal structure of Rb2HgAuBr6 (PBE).

Results
- total DFT energy (no corrections) (eV per atom) = -2.354

Unit cell a=16.2980 b=10.9667 c=11.4875 alpha=90.00 beta=134.14 gamma=90.00
Space group C2/c (No. 15)
Asymmetric unit:
Rb (0.2248, 0.1520, 0.2523)
Hg (0.0000, 0.4935, 0.7500)
Au (0.0000, 0.0743, 0.2500)
Br (0.0094, 0.3565, 0.0825)
Br (0.1279, 0.2732, 0.8766)
Br (0.1945, 0.0763, 0.5171)